DFT (PBE) results for LiSc2Re after structural relaxation.

a b c (Å): 3.580 3.580 5.778
angles (deg): 90.00 90.00 90.00
Sites, in units of the cell vectors:
Sc1 0.500 0.500 0.265
Re1 0.500 0.500 0.766
Li1 0.000 0.000 0.517
Sc2 0.000 0.000 0.951

Computed properties:
Magnetization = 0.00 Bohr magnetons per cell
ΔE_f = 281 meV per atom